Density functional theory data (GGA+U) for a relaxed structure of Na2PuFeO6.

Results
Density of states at the Fermi level: 0.07 states/eV per cell
Crystal system: tetragonal
Energy: -7.13 eV per atom
Symmetry: P4mm (99)

Unit cell a=4.154 b=5.643 c=5.643 alpha=90.00 beta=90.00 gamma=90.00
Last column: magnetic moment on the atom in μB.
Fractional coordinates of all 10 atoms:
Na  0.119  0.500  0.000  0.00
Na  0.119  0.000  0.500  0.00
Pu  0.652  0.500  0.500  1.72
Fe  0.609  0.000  0.000  4.20
O  0.659  0.254  0.254  -0.05
O  0.659  0.254  0.746  -0.05
O  0.154  0.500  0.500  -0.06
O  0.159  0.000  0.000  0.21
O  0.659  0.746  0.746  -0.05
O  0.659  0.746  0.254  -0.05